{"formula": "TcHgSe2", "functional": "GGA-PBE", "state": "relaxed", "cell": [[-6.879, 4.452, 6.236], [-8.824, 2.684, 4.578], [-7.360, 1.490, 7.046]], "species": ["Se", "Se", "Tc", "Hg"], "fractional_positions": [[0.006, 0.006, 0.006], [0.227, 0.227, 0.227], [0.506, 0.506, 0.506], [0.762, 0.762, 0.762]], "energy_ev_per_fu": -17.164, "spacegroup": "No. 160", "rho_g_cm3": 8.94, "e_form_raw_ev_per_atom": 0.118}



{"formula": "TcHgSe2", "functional": "GGA-PBE", "state": "relaxed", "cell": [[3.509, 0.000, 0.000], [0.000, 4.857, 0.000], [0.000, 0.000, 4.617]], "species": ["Tc", "Hg", "Se", "Se"], "fractional_positions": [[0.500, 0.000, 0.500], [0.000, 0.500, 0.500], [0.000, 0.000, 0.000], [0.500, 0.500, 0.000]], "energy_ev_per_fu": -14.598, "spacegroup": "No. 47", "rho_g_cm3": 9.63, "e_form_raw_ev_per_atom": 0.760}



{"formula": "TcHg2Se", "functional": "GGA-PBE", "state": "relaxed", "cell": [[5.455, 0.000, 0.000], [0.000, 3.322, -0.015], [0.000, 0.019, 4.556]], "species": ["Hg", "Hg", "Tc", "Se"], "fractional_positions": [[0.000, 0.505, 0.503], [0.000, 0.995, 0.997], [0.500, 0.750, 0.750], [0.500, 0.250, 0.250]], "energy_ev_per_fu": -11.940, "spacegroup": "No. 10", "rho_g_cm3": 11.63, "e_form_raw_ev_per_atom": 0.628}



{"formula": "TcHgSe2", "functional": "GGA-PBE", "state": "relaxed", "cell": [[3.207, 0.000, 0.000], [0.000, 5.431, 0.001], [0.000, 3.335, 5.235]], "species": ["Tc", "Se", "Se", "Hg"], "fractional_positions": [[0.500, 0.250, 0.250], [0.000, 0.463, 0.411], [0.000, 0.037, 0.089], [0.500, 0.750, 0.750]], "energy_ev_per_fu": -17.517, "spacegroup": "No. 10", "rho_g_cm3": 8.31, "e_form_raw_ev_per_atom": 0.030}



{"formula": "TcHg2Se", "functional": "GGA-PBE", "state": "relaxed", "cell": [[3.734, 0.000, 0.000], [0.000, 3.729, 0.000], [0.000, 0.000, 5.890]], "species": ["Hg", "Hg", "Tc", "Se"], "fractional_positions": [[0.000, 0.000, 0.996], [0.000, 0.000, 0.504], [0.500, 0.500, 0.750], [0.500, 0.500, 0.250]], "energy_ev_per_fu": -11.847, "spacegroup": "No. 123", "rho_g_cm3": 11.71, "e_form_raw_ev_per_atom": 0.652}



{"formula": "TcHgSe2", "functional": "GGA-PBE", "state": "relaxed", "cell": [[4.833, 0.002, 0.000], [-1.137, 4.697, 0.000], [0.000, 0.000, 3.361]], "species": ["Hg", "Se", "Se", "Tc"], "fractional_positions": [[0.000, 0.500, 0.500], [0.500, 0.500, 0.000], [0.000, 0.000, 0.000], [0.500, 0.000, 0.500]], "energy_ev_per_fu": -15.186, "spacegroup": "No. 65", "rho_g_cm3": 9.94, "e_form_raw_ev_per_atom": 0.613}